The following is a DFT calculation (PBE with a Hubbard U) of Li4Mn7P6O24 after structural relaxation.

Summary:
Uncorrected energy (eV per formula unit): -299.51

Cell lengths 6.6460, 8.2990, 9.7742 Å; angles 101.64, 106.09, 101.41 degrees
Atoms (fractional coordinates):
O  0.5475  0.7116  0.2219
O  0.6742  0.9552  0.7309
O  0.7539  0.0181  0.2896
O  0.8981  0.4766  0.8414
O  0.2793  0.0527  0.2595
O  0.4485  0.3685  0.2999
O  0.1277  0.7875  0.9238
O  0.4517  0.2829  0.7762
O  0.9179  0.4202  0.3278
O  0.0896  0.5826  0.6724
O  0.7474  0.7303  0.5388
O  0.2512  0.9765  0.7232
O  0.7764  0.8220  0.0659
O  0.0387  0.1991  0.6744
O  0.2244  0.1832  0.9356
O  0.8972  0.2157  0.0794
O  0.5443  0.6499  0.7149
O  0.2507  0.2885  0.4657
O  0.9607  0.7899  0.3222
O  0.3113  0.5479  0.9083
O  0.1175  0.5256  0.1704
O  0.3669  0.7476  0.4953
O  0.6971  0.4486  0.0862
O  0.6087  0.2185  0.4926
Li  0.4681  0.8965  0.8603
Li  0.2530  0.4970  0.3849
Li  0.6989  0.5611  0.3469
Li  0.3085  0.4396  0.6673
P  0.9012  0.3951  0.1607
P  0.3982  0.2281  0.3790
P  0.1035  0.6026  0.8370
P  0.7611  0.8384  0.2267
P  0.2399  0.1605  0.7762
P  0.5923  0.7735  0.6216
Mn  0.0710  0.7688  0.5519
Mn  0.0398  0.0102  0.0296
Mn  0.3556  0.4312  0.0869
Mn  0.9150  0.2335  0.4500
Mn  0.6605  0.5720  0.9122
Mn  0.7278  0.2127  0.7217
Mn  0.2787  0.7990  0.2750



The following is a DFT calculation (PBE with a Hubbard U) of LiMn2P2O8 after structural relaxation.

Summary:
Uncorrected energy (eV per formula unit): -93.81

Cell lengths 5.2877, 8.6867, 8.6310 Å; angles 70.74, 90.00, 90.00 degrees
Atoms (fractional coordinates):
O  0.8389  0.7159  0.2205
O  0.7043  0.4246  0.6246
O  0.1329  0.8720  0.9131
O  0.8671  0.3720  0.9131
O  0.2957  0.9246  0.6246
O  0.6898  0.6437  0.7632
O  0.4023  0.7757  0.3099
O  0.6787  0.0065  0.1308
O  0.3102  0.1437  0.7632
O  0.1067  0.5594  0.6649
O  0.5977  0.2757  0.3099
O  0.1960  0.3636  0.4258
O  0.8933  0.0594  0.6649
O  0.1611  0.2159  0.2205
O  0.8040  0.8636  0.4258
O  0.3213  0.5065  0.1308
P  0.1576  0.0006  0.7421
P  0.8424  0.5006  0.7421
P  0.6813  0.8398  0.2708
P  0.3187  0.3398  0.2708
Mn  0.6707  0.8779  0.6400
Mn  0.3293  0.3779  0.6400
Mn  0.8043  0.2178  0.1344
Mn  0.1957  0.7178  0.1344
Li  0.8371  0.2853  0.4926
Li  0.1629  0.7853  0.4926



The following is a DFT calculation (PBE with a Hubbard U) of Li3MnP2O8 after structural relaxation.

Summary:
Uncorrected energy (eV per formula unit): -94.20

Cell lengths 5.0155, 5.0155, 6.2043 Å; angles 89.08, 89.08, 64.58 degrees
Atoms (fractional coordinates):
P  0.6474  0.6474  0.7713
P  0.3526  0.3526  0.2287
O  0.2966  0.7654  0.7701
O  0.2346  0.7034  0.2299
O  0.7462  0.7462  0.9746
O  0.2520  0.2520  0.4330
O  0.2538  0.2538  0.0254
O  0.7654  0.2966  0.7701
O  0.7034  0.2346  0.2299
O  0.7480  0.7480  0.5670
Li  0.6692  0.6692  0.2757
Li  0.0000  0.0000  0.5000
Li  0.3308  0.3308  0.7243
Mn  0.0000  0.0000  0.0000



The following is a DFT calculation (PBE with a Hubbard U) of Li3MnP2O8 after structural relaxation.

Summary:
Uncorrected energy (eV per formula unit): -94.38

Cell lengths 8.0499, 8.4409, 10.4723 Å; angles 89.54, 89.92, 105.29 degrees
Atoms (fractional coordinates):
Mn  0.1111  0.6353  0.6578
Mn  0.8966  0.3600  0.3433
Mn  0.8824  0.8652  0.1459
Mn  0.1140  0.1282  0.8470
Li  0.3547  0.8225  0.8537
Li  0.1823  0.6400  0.1502
Li  0.5170  0.7826  0.5719
Li  0.3539  0.3394  0.6576
Li  0.8165  0.3632  0.8319
Li  0.6589  0.6664  0.3498
Li  0.6570  0.1641  0.1464
Li  0.8182  0.8607  0.6679
Li  0.4880  0.2257  0.4423
Li  0.3669  0.8752  0.3304
Li  0.5163  0.2804  0.9372
Li  0.3073  0.3286  0.1854
O  0.9712  0.6804  0.0752
O  0.6663  0.6510  0.6206
O  0.8082  0.4019  0.1720
O  0.7539  0.0042  0.0525
O  0.5881  0.8393  0.8639
O  0.4138  0.1716  0.1063
O  0.8905  0.9857  0.8327
O  0.3162  0.8654  0.1542
O  0.8053  0.9062  0.3262
O  0.6889  0.1611  0.3441
O  0.6646  0.1533  0.8701
O  0.0976  0.0376  0.1392
O  0.3147  0.8308  0.6600
O  0.2449  0.9792  0.9385
O  0.2574  0.4797  0.0532
O  0.0377  0.8245  0.5812
O  0.1257  0.5161  0.3284
O  0.3098  0.0072  0.4614
O  0.0235  0.3119  0.9039
O  0.3673  0.3784  0.3632
O  0.5811  0.3391  0.6040
O  0.6923  0.6595  0.1592
O  0.8849  0.4870  0.6674
O  0.2338  0.4858  0.5567
O  0.2042  0.5927  0.8343
O  0.7107  0.9808  0.5410
O  0.9698  0.1828  0.4278
O  0.3168  0.3325  0.8516
O  0.7809  0.5145  0.4393
O  0.7117  0.4812  0.9608
O  0.4194  0.6845  0.3985
O  0.2127  0.0986  0.6707
P  0.2215  0.9519  0.5879
P  0.7218  0.4990  0.5826
P  0.7911  0.5479  0.0861
P  0.7151  0.9962  0.9048
P  0.7939  0.0478  0.4156
P  0.2896  0.5129  0.4133
P  0.2047  0.4404  0.9161
P  0.2712  0.0090  0.0857



The following is a DFT calculation (PBE with a Hubbard U) of Li2MnPO4 after structural relaxation.

Summary:
Uncorrected energy (eV per formula unit): -51.46

Cell lengths 4.8512, 4.8512, 5.2993 Å; angles 117.24, 117.24, 89.99 degrees
Atoms (fractional coordinates):
Li  0.7500  0.2500  0.5001
Li  0.2500  0.7500  0.5001
O  0.4294  0.8000  0.2294
O  0.5707  0.5707  0.7707
O  0.2001  0.2001  0.7707
O  0.8000  0.4294  0.2294
Mn  0.0001  0.0001  0.0002
P  0.5000  0.5000  0.0000



The following is a DFT calculation (PBE with a Hubbard U) of Li2Mn3P4O14 after structural relaxation.

Summary:
Uncorrected energy (eV per formula unit): -167.37

Cell lengths 5.6735, 7.0422, 7.5134 Å; angles 73.98, 82.45, 67.32 degrees
Atoms (fractional coordinates):
O  0.3328  0.2687  0.1431
O  0.5562  0.2644  0.4467
O  0.9453  0.3528  0.4450
O  0.8368  0.7567  0.1454
O  0.0293  0.9360  0.7160
O  0.3734  0.7767  0.1446
O  0.0547  0.6472  0.5550
O  0.6672  0.7313  0.8569
O  0.9707  0.0640  0.2840
O  0.6266  0.2233  0.8554
O  0.7361  0.4356  0.1391
O  0.2639  0.5644  0.8609
O  0.4438  0.7356  0.5533
O  0.1632  0.2433  0.8546
Mn  0.7959  0.4892  0.6861
Mn  0.2041  0.5108  0.3139
Mn  0.0000  0.0000  0.0000
P  0.8060  0.2670  0.3414
P  0.3481  0.3110  0.9334
P  0.1940  0.7330  0.6586
P  0.6519  0.6890  0.0666
Li  0.6497  0.0267  0.6900
Li  0.3503  0.9733  0.3100



The following is a DFT calculation (PBE with a Hubbard U) of LiMn3P3O13 after structural relaxation.

Summary:
Uncorrected energy (eV per formula unit): -143.80

Cell lengths 6.2145, 7.4815, 10.5827 Å; angles 80.55, 90.00, 90.00 degrees
Atoms (fractional coordinates):
O  0.9583  0.7938  0.9025
O  0.7500  0.6451  0.7392
O  0.2500  0.6589  0.3706
O  0.2500  0.9853  0.4041
O  0.9417  0.6084  0.1990
O  0.5547  0.2619  0.4379
O  0.0417  0.2062  0.0975
O  0.7500  0.7730  0.3645
O  0.2500  0.3549  0.2608
O  0.7500  0.9065  0.1313
O  0.7500  0.0147  0.5959
O  0.9453  0.2619  0.4379
O  0.5583  0.6084  0.1990
O  0.4583  0.2062  0.0975
O  0.0583  0.3916  0.8010
O  0.2500  0.5046  0.0468
O  0.7500  0.3411  0.6294
O  0.7500  0.4954  0.9532
O  0.0547  0.7381  0.5621
O  0.4453  0.7381  0.5621
O  0.2500  0.0935  0.8687
O  0.7500  0.1280  0.9056
O  0.5417  0.7938  0.9025
O  0.2500  0.8720  0.0944
O  0.4417  0.3916  0.8010
O  0.2500  0.2270  0.6355
Mn  0.7500  0.3660  0.8027
Mn  0.7500  0.7634  0.5493
Mn  0.0000  0.0000  0.0000
Mn  0.5000  0.0000  0.0000
Mn  0.2500  0.2366  0.4507
Mn  0.2500  0.6340  0.1973
P  0.2500  0.2723  0.7696
P  0.7500  0.7277  0.2304
P  0.2500  0.7898  0.4719
P  0.7500  0.6939  0.8774
P  0.7500  0.2102  0.5281
P  0.2500  0.3061  0.1226
Li  0.2500  0.6333  0.8683
Li  0.7500  0.3667  0.1317



The following is a DFT calculation (PBE with a Hubbard U) of LiMn6PO12 after structural relaxation.

Summary:
Uncorrected energy (eV per formula unit): -147.10

Cell lengths 9.5300, 9.5300, 11.6563 Å; angles 114.13, 114.13, 90.00 degrees
Atoms (fractional coordinates):
Mn  0.8507  0.1250  0.7500
Mn  0.7339  0.2339  0.0000
Mn  0.8750  0.1007  0.2500
Mn  0.6250  0.3750  0.2500
Mn  0.1250  0.8750  0.2500
Mn  0.1250  0.3750  0.2500
Mn  0.4839  0.0161  0.5000
Mn  0.6250  0.8750  0.7500
Mn  0.3993  0.6250  0.7500
Mn  0.9839  0.9839  0.5000
Mn  0.7661  0.7339  0.0000
Mn  0.8993  0.6250  0.7500
Mn  0.3507  0.1250  0.7500
Mn  0.5161  0.5161  0.5000
Mn  0.6250  0.3750  0.7500
Mn  0.0161  0.4839  0.5000
Mn  0.1250  0.8750  0.7500
Mn  0.1250  0.3750  0.7500
Mn  0.6250  0.8750  0.2500
Mn  0.8750  0.6007  0.2500
Mn  0.2339  0.2661  0.0000
Mn  0.3750  0.6493  0.2500
Mn  0.3750  0.1493  0.2500
Mn  0.2661  0.7661  0.0000
P  0.5000  0.5000  0.0000
P  0.7500  0.2500  0.5000
P  0.2500  0.7500  0.5000
P  0.0000  0.0000  0.0000
O  0.7053  0.6834  0.6472
O  0.0447  0.2863  0.8528
O  0.5363  0.5581  0.3528
O  0.4419  0.1834  0.6472
O  0.0340  0.0109  0.3618
O  0.4223  0.2391  0.1382
O  0.5340  0.8508  0.3618
O  0.2160  0.7391  0.1382
O  0.6180  0.3042  0.4072
O  0.7609  0.2840  0.8618
O  0.6958  0.2108  0.5928
O  0.9419  0.9637  0.6472
O  0.7160  0.8992  0.1382
O  0.5542  0.5392  0.9072
O  0.9334  0.6919  0.1472
O  0.8971  0.3820  0.5928
O  0.4891  0.4660  0.6382
O  0.1180  0.6029  0.4072
O  0.3529  0.3680  0.9072
O  0.5447  0.0666  0.8528
O  0.2137  0.4553  0.1472
O  0.9608  0.9458  0.0928
O  0.6008  0.7840  0.8618
O  0.7137  0.1919  0.1472
O  0.1958  0.8820  0.5928
O  0.4608  0.6471  0.0928
O  0.2892  0.8042  0.4072
O  0.1008  0.5777  0.8618
O  0.2053  0.4637  0.6472
O  0.2609  0.0777  0.8618
O  0.9891  0.6723  0.6382
O  0.0542  0.8680  0.9072
O  0.9223  0.3992  0.1382
O  0.3971  0.7108  0.5928
O  0.3081  0.7863  0.8528
O  0.8081  0.5666  0.8528
O  0.1320  0.1471  0.0928
O  0.3277  0.3508  0.3618
O  0.8529  0.0392  0.9072
O  0.6492  0.9660  0.6382
O  0.1492  0.1723  0.6382
O  0.8277  0.5109  0.3618
O  0.0363  0.2947  0.3528
O  0.3166  0.0581  0.3528
O  0.4334  0.9553  0.1472
O  0.8166  0.7947  0.3528
O  0.6320  0.4458  0.0928
O  0.7892  0.1029  0.4072
Li  0.2500  0.2500  0.5000
Li  0.0000  0.5000  0.0000
Li  0.7500  0.7500  0.5000
Li  0.5000  0.0000  0.0000



The following is a DFT calculation (PBE with a Hubbard U) of Li4MnP2O9 after structural relaxation.

Summary:
Uncorrected energy (eV per formula unit): -105.00

Cell lengths 7.8800, 7.8800, 7.0097 Å; angles 89.09, 89.09, 51.20 degrees
Atoms (fractional coordinates):
O  0.3437  0.3437  0.4344
O  0.9913  0.3741  0.2364
O  0.5593  0.1802  0.1220
O  0.7628  0.7628  0.1060
O  0.1802  0.5593  0.1220
O  0.4963  0.4963  0.7621
O  0.1240  0.1240  0.5081
O  0.2372  0.2372  0.8940
O  0.8760  0.8760  0.4919
O  0.6563  0.6563  0.5656
O  0.5037  0.5037  0.2379
O  0.0323  0.0323  0.1823
O  0.8198  0.4407  0.8780
O  0.9677  0.9677  0.8177
O  0.6259  0.0087  0.7636
O  0.4407  0.8198  0.8780
O  0.3741  0.9913  0.2364
O  0.0087  0.6259  0.7636
Li  0.3664  0.3664  0.7113
Li  0.7604  0.2396  0.0000
Li  0.8930  0.8930  0.2302
Li  0.5000  0.0000  0.5000
Li  0.2396  0.7604  0.0000
Li  0.0000  0.5000  0.5000
Li  0.1070  0.1070  0.7698
Li  0.6336  0.6336  0.2887
P  0.8758  0.8758  0.7078
P  0.3969  0.3969  0.2427
P  0.6031  0.6031  0.7573
P  0.1242  0.1242  0.2922
Mn  0.5000  0.0000  0.0000
Mn  0.0000  0.5000  0.0000



The following is a DFT calculation (PBE with a Hubbard U) of LiMn2P3O12 after structural relaxation.

Summary:
Uncorrected energy (eV per formula unit): -125.61

Cell lengths 8.5918, 8.5918, 6.2289 Å; angles 74.41, 74.41, 92.54 degrees
Atoms (fractional coordinates):
O  0.6808  0.5464  0.2107
O  0.4498  0.7467  0.2775
O  0.8176  0.8340  0.1111
O  0.5464  0.6808  0.7107
O  0.6436  0.9679  0.4166
O  0.8340  0.8176  0.6111
O  0.9679  0.6436  0.9166
O  0.3192  0.4536  0.7893
O  0.1515  0.7429  0.4740
O  0.2571  0.8485  0.0260
O  0.7467  0.4498  0.7775
O  0.8485  0.2571  0.5260
O  0.3564  0.0321  0.5834
O  0.4086  0.0626  0.1683
O  0.7429  0.1515  0.9740
O  0.0321  0.3564  0.0834
O  0.1660  0.1824  0.3889
O  0.0626  0.4086  0.6683
O  0.2533  0.5502  0.2225
O  0.9374  0.5914  0.3317
O  0.1824  0.1660  0.8889
O  0.5502  0.2533  0.7225
O  0.5914  0.9374  0.8317
O  0.4536  0.3192  0.2893
Li  0.5000  0.5000  0.5000
Li  0.5000  0.5000  0.0000
Mn  0.9387  0.6208  0.6373
Mn  0.0613  0.3792  0.3627
Mn  0.3792  0.0613  0.8627
Mn  0.6208  0.9387  0.1373
P  0.3493  0.1603  0.3569
P  0.8397  0.6507  0.1431
P  0.2745  0.7255  0.2500
P  0.1603  0.3493  0.8569
P  0.7255  0.2745  0.7500
P  0.6507  0.8397  0.6431